NaZnSbTe3 (GGA-PBE, relaxed); space group = No. 11; crystal system = monoclinic; energy relative to the elements, uncorrected = -0.42 eV/atom
1.0
4.348 0.000 0.000
0.000 9.248 0.136
0.000 -2.306 9.725
Sb Na Te Zn
2 2 6 2
Cartesian
3.261 1.109 8.436
1.087 5.833 1.425
1.087 1.163 2.274
3.261 5.779 7.587
1.087 3.355 8.246
3.261 7.993 1.387
1.087 -1.051 8.474
3.261 3.587 1.614
1.087 6.116 4.807
3.261 0.826 5.054
1.087 -0.616 5.832
3.261 7.558 4.029

NaZnSbTe2 (GGA-PBE, relaxed); space group = No. 123; ΔE to the lowest computed polymorph = 616 meV/atom; crystal system = tetragonal; energy relative to the elements, uncorrected = 0.70 eV/atom
1.0
5.530 0.000 0.000
0.000 5.530 0.000
0.000 0.000 5.467
Sb Te Zn Na
1 2 1 1
Cartesian
0.000 0.000 2.733
0.000 2.765 0.000
2.765 0.000 0.000
2.765 2.765 2.733
0.000 0.000 0.000

NaZnSb2Te (GGA-PBE, relaxed); space group = No. 123; ΔE to the lowest computed polymorph = 0 meV/atom; crystal system = tetragonal; energy relative to the elements, uncorrected = 0.19 eV/atom
1.0
5.227 0.000 0.000
0.000 5.227 0.000
0.000 0.000 5.749
Zn Te Sb Na
1 1 2 1
Cartesian
0.000 0.000 0.000
0.000 0.000 2.874
2.613 0.000 0.000
0.000 2.613 0.000
2.613 2.613 2.874

Na3ZrSb2Te6 (GGA-PBE, relaxed); space group = No. 12; crystal system = monoclinic; energy relative to the elements, uncorrected = -0.59 eV/atom
1.0
-7.002 2.750 1.612
0.757 -6.724 -3.661
2.203 -2.201 7.196
Te Zr Sb Na
6 1 2 3
Cartesian
0.186 -2.673 5.075
-4.228 -3.502 0.071
-4.313 -3.241 4.870
-2.212 0.097 1.964
0.270 -2.934 0.276
-1.830 -6.272 3.183
0.000 0.000 0.000
-1.842 -3.551 -1.895
-4.403 -0.423 -0.154
-4.538 -0.014 4.284
0.496 -6.161 0.862
-2.021 -3.087 2.573

NaZrSbTe2 (GGA-PBE, relaxed); space group = No. 123; ΔE to the lowest computed polymorph = 0 meV/atom; crystal system = tetragonal; energy relative to the elements, uncorrected = -0.34 eV/atom
1.0
5.668 0.000 0.000
0.000 5.668 0.000
0.000 0.000 5.619
Te Na Sb Zr
2 1 1 1
Cartesian
2.834 0.000 0.000
0.000 2.834 0.000
2.834 2.834 2.809
0.000 0.000 2.809
0.000 0.000 0.000

NaZrSb2Te (GGA-PBE, relaxed); space group = No. 123; ΔE to the lowest computed polymorph = 0 meV/atom; crystal system = tetragonal; energy relative to the elements, uncorrected = -0.17 eV/atom
1.0
5.603 0.000 0.000
0.000 5.603 0.000
0.000 0.000 5.673
Sb Zr Te Na
2 1 1 1
Cartesian
0.000 2.801 0.000
2.801 0.000 0.000
0.000 0.000 0.000
0.000 0.000 2.836
2.801 2.801 2.836

NaTh4Sb5 (GGA-PBE, relaxed); space group = No. 71; crystal system = orthorhombic; energy relative to the elements, uncorrected = -0.81 eV/atom
1.0
-3.958 0.378 -2.101
-2.330 -4.750 3.534
-0.310 9.732 7.148
Th Sb Na
4 5 1
Cartesian
-1.387 3.030 3.158
-2.780 6.073 6.330
-5.211 2.330 5.424
-3.818 -0.713 2.252
-2.536 0.620 4.889
-1.165 -2.375 1.767
-4.062 4.740 3.692
-3.905 3.609 8.004
-2.694 1.750 0.577
0.000 0.000 0.000

Na2TiSb (GGA-PBE, relaxed); space group = No. 122; crystal system = tetragonal; energy relative to the elements, uncorrected = 0.31 eV/atom
1.0
8.981 0.000 0.000
0.000 8.981 0.000
4.491 4.491 2.788
Ti Na Sb
2 4 2
Cartesian
4.491 8.981 1.394
4.491 4.491 0.000
6.736 6.461 2.091
11.227 11.502 2.091
1.970 6.736 0.697
7.011 2.245 0.697
8.981 4.491 1.394
0.000 0.000 0.000

NaTiSb3 (GGA-PBE, relaxed); space group = No. 221; ΔE to the lowest computed polymorph = 0 meV/atom; crystal system = cubic; energy relative to the elements, uncorrected = -0.09 eV/atom
1.0
5.320 0.000 0.000
0.000 5.320 0.000
0.000 0.000 5.320
Sb Na Ti
3 1 1
Cartesian
2.660 0.000 0.000
0.000 2.660 0.000
0.000 0.000 2.660
2.660 2.660 2.660
0.000 0.000 0.000

Na3TiSb (GGA-PBE, relaxed); space group = No. 221; ΔE to the lowest computed polymorph = 0 meV/atom; crystal system = cubic; energy relative to the elements, uncorrected = 0.77 eV/atom
1.0
5.818 0.000 0.000
0.000 5.818 0.000
0.000 0.000 5.818
Na Sb Ti
3 1 1
Cartesian
0.000 0.000 2.909
2.909 0.000 0.000
0.000 2.909 0.000
0.000 0.000 0.000
2.909 2.909 2.909

Na3TiSb (GGA-PBE, relaxed); space group = No. 221; ΔE to the lowest computed polymorph = 367 meV/atom; crystal system = cubic; energy relative to the elements, uncorrected = 1.14 eV/atom
1.0
-5.516 1.007 0.627
-1.180 -4.345 -3.401
-0.124 -3.457 4.458
Na Sb Ti
3 1 1
Cartesian
-0.590 -2.172 -1.701
-2.758 0.503 0.314
-0.062 -1.728 2.229
-3.410 -3.397 0.842
0.000 0.000 0.000

NaYTiSb2 (GGA-PBE, relaxed); space group = No. 123; crystal system = tetragonal; energy relative to the elements, uncorrected = 0.89 eV/atom
1.0
5.288 0.000 0.000
0.000 4.972 0.000
0.000 0.000 5.288
Sb Ti Na Y
2 1 1 1
Cartesian
0.000 0.000 2.644
2.644 0.000 0.000
2.644 2.486 2.644
0.000 0.000 0.000
0.000 2.486 0.000